## one
# LaSnH2Au GGA-PBE relaxed
data_LaSnH2Au
_cell_length_a 4.671
_cell_length_b 4.671
_cell_length_c 4.710
_cell_angle_alpha 90.00
_cell_angle_beta 90.00
_cell_angle_gamma 120.00
_symmetry_space_group_name_H-M 'P 1'
_symmetry_Int_Tables_number 1
_symmetry_space_group_name_Hall 'P 1'
loop_
_atom_site_label
_atom_site_fract_x
_atom_site_fract_y
_atom_site_fract_z
La1 0.000 0.000 0.000
Sn1 0.333 0.667 0.500
H1 0.667 0.333 0.101
H2 0.667 0.333 0.899
Au1 0.667 0.333 0.500
# - density (g cm⁻³) = 8.52

***

## two
# LaSnH2Au GGA-PBE relaxed
data_LaSnH2Au
_cell_length_a 7.889
_cell_length_b 3.942
_cell_length_c 6.487
_cell_angle_alpha 90.00
_cell_angle_beta 111.32
_cell_angle_gamma 90.00
_symmetry_space_group_name_H-M 'P 1'
_symmetry_Int_Tables_number 1
_symmetry_space_group_name_Hall 'P 1'
loop_
_atom_site_label
_atom_site_fract_x
_atom_site_fract_y
_atom_site_fract_z
La1 0.000 0.000 0.000
La2 0.500 0.500 0.000
Sn1 0.045 0.500 0.569
Sn2 0.545 0.000 0.569
H1 0.301 0.500 0.637
H2 0.306 0.000 0.927
H3 0.801 0.000 0.637
H4 0.806 0.500 0.927
Au1 0.300 0.500 0.332
Au2 0.800 0.000 0.332
# - density (g cm⁻³) = 8.07

***

## three
# LaSnH2Au GGA-PBE relaxed
data_LaSnH2Au
_cell_length_a 3.903
_cell_length_b 3.903
_cell_length_c 6.472
_cell_angle_alpha 90.00
_cell_angle_beta 90.00
_cell_angle_gamma 90.00
_symmetry_space_group_name_H-M 'P 1'
_symmetry_Int_Tables_number 1
_symmetry_space_group_name_Hall 'P 1'
loop_
_atom_site_label
_atom_site_fract_x
_atom_site_fract_y
_atom_site_fract_z
La1 0.000 0.000 0.000
Sn1 0.500 0.500 0.310
H1 0.000 0.500 0.754
H2 0.500 0.000 0.754
Au1 0.500 0.500 0.744
# - density (g cm⁻³) = 7.69

***

## four
# LaSnH2Au GGA-PBE relaxed
data_LaSnH2Au
_cell_length_a 4.630
_cell_length_b 4.630
_cell_length_c 4.456
_cell_angle_alpha 90.00
_cell_angle_beta 90.00
_cell_angle_gamma 120.00
_symmetry_space_group_name_H-M 'P 1'
_symmetry_Int_Tables_number 1
_symmetry_space_group_name_Hall 'P 1'
loop_
_atom_site_label
_atom_site_fract_x
_atom_site_fract_y
_atom_site_fract_z
La1 0.000 0.000 0.000
Sn1 0.333 0.667 0.523
H1 0.333 0.667 0.988
H2 0.667 0.333 0.055
Au1 0.667 0.333 0.463
# - density (g cm⁻³) = 9.17

***

Energy ordering: four at the bottom, the next structure 105 meV per atom above.

***

## one
# LaSnH2Au GGA-PBE relaxed
data_LaSnH2Au
_cell_length_a 8.091
_cell_length_b 4.663
_cell_length_c 4.655
_cell_angle_alpha 90.00
_cell_angle_beta 91.05
_cell_angle_gamma 90.00
_symmetry_space_group_name_H-M 'P 1'
_symmetry_Int_Tables_number 1
_symmetry_space_group_name_Hall 'P 1'
loop_
_atom_site_label
_atom_site_fract_x
_atom_site_fract_y
_atom_site_fract_z
La1 0.000 0.000 0.000
La2 0.500 0.500 0.000
Sn1 0.174 0.500 0.551
Sn2 0.674 0.000 0.551
H1 0.315 0.000 0.070
H2 0.447 0.000 0.773
H3 0.815 0.500 0.070
H4 0.947 0.500 0.773
Au1 0.335 0.000 0.436
Au2 0.835 0.500 0.436
# - density (g cm⁻³) = 8.64

***

## two
# LaSnH2Au GGA-PBE relaxed
data_LaSnH2Au
_cell_length_a 4.387
_cell_length_b 4.594
_cell_length_c 4.819
_cell_angle_alpha 114.97
_cell_angle_beta 92.48
_cell_angle_gamma 90.43
_symmetry_space_group_name_H-M 'P 1'
_symmetry_Int_Tables_number 1
_symmetry_space_group_name_Hall 'P 1'
loop_
_atom_site_label
_atom_site_fract_x
_atom_site_fract_y
_atom_site_fract_z
La1 0.000 0.000 0.000
Sn1 0.537 0.673 0.307
H1 0.101 0.585 0.166
H2 0.493 0.120 0.873
Au1 0.484 0.331 0.633
# - density (g cm⁻³) = 8.62

***

## three
# LaSnH2Au GGA-PBE relaxed
data_LaSnH2Au
_cell_length_a 4.061
_cell_length_b 4.061
_cell_length_c 19.653
_cell_angle_alpha 90.00
_cell_angle_beta 90.00
_cell_angle_gamma 120.00
_symmetry_space_group_name_H-M 'P 1'
_symmetry_Int_Tables_number 1
_symmetry_space_group_name_Hall 'P 1'
loop_
_atom_site_label
_atom_site_fract_x
_atom_site_fract_y
_atom_site_fract_z
La1 0.000 0.000 0.000
La2 0.333 0.667 0.667
La3 0.667 0.333 0.333
Sn1 0.000 0.000 0.199
Sn2 0.333 0.667 0.866
Sn3 0.667 0.333 0.532
H1 0.000 0.000 0.365
H2 0.000 0.000 0.660
H3 0.333 0.667 0.032
H4 0.333 0.667 0.327
H5 0.667 0.333 0.698
H6 0.667 0.333 0.993
Au1 0.000 0.000 0.459
Au2 0.333 0.667 0.126
Au3 0.667 0.333 0.793
# - density (g cm⁻³) = 8.10

***

## four
# LaSnH2Au GGA-PBE relaxed
data_LaSnH2Au
_cell_length_a 8.066
_cell_length_b 4.824
_cell_length_c 4.431
_cell_angle_alpha 90.00
_cell_angle_beta 90.11
_cell_angle_gamma 90.00
_symmetry_space_group_name_H-M 'P 1'
_symmetry_Int_Tables_number 1
_symmetry_space_group_name_Hall 'P 1'
loop_
_atom_site_label
_atom_site_fract_x
_atom_site_fract_y
_atom_site_fract_z
La1 0.000 0.000 0.000
La2 0.500 0.500 0.000
Sn1 0.323 0.000 0.559
Sn2 0.823 0.500 0.559
H1 0.174 0.500 0.026
H2 0.375 0.500 0.501
H3 0.674 0.000 0.026
H4 0.875 0.000 0.501
Au1 0.150 0.500 0.426
Au2 0.650 0.000 0.426
# - density (g cm⁻³) = 8.80

***

Energy ordering: three at the bottom, the next structure 32 meV per atom above.

***

## one
# Li3HAu GGA-PBE relaxed
data_Li3HAu
_cell_length_a 3.501
_cell_length_b 3.501
_cell_length_c 14.227
_cell_angle_alpha 90.00
_cell_angle_beta 90.00
_cell_angle_gamma 120.00
_symmetry_space_group_name_H-M 'P 1'
_symmetry_Int_Tables_number 1
_symmetry_space_group_name_Hall 'P 1'
loop_
_atom_site_label
_atom_site_fract_x
_atom_site_fract_y
_atom_site_fract_z
Li1 0.000 0.000 0.250
Li2 0.000 0.000 0.750
Li3 0.333 0.667 0.110
Li4 0.333 0.667 0.390
Li5 0.667 0.333 0.610
Li6 0.667 0.333 0.890
H1 0.333 0.667 0.250
H2 0.667 0.333 0.750
Au1 0.000 0.000 0.000
Au2 0.000 0.000 0.500
# - density (g cm⁻³) = 4.81

***

## two
# Li3HAu GGA-PBE relaxed
data_Li3HAu
_cell_length_a 3.075
_cell_length_b 3.075
_cell_length_c 13.896
_cell_angle_alpha 90.00
_cell_angle_beta 90.00
_cell_angle_gamma 90.01
_symmetry_space_group_name_H-M 'P 1'
_symmetry_Int_Tables_number 1
_symmetry_space_group_name_Hall 'P 1'
loop_
_atom_site_label
_atom_site_fract_x
_atom_site_fract_y
_atom_site_fract_z
Li1 0.000 0.000 0.109
Li2 0.000 0.000 0.391
Li3 0.000 0.000 0.609
Li4 0.000 0.000 0.891
Li5 0.500 0.500 0.250
Li6 0.500 0.500 0.750
H1 0.001 0.999 0.750
H2 0.999 0.001 0.250
Au1 0.500 0.500 0.000
Au2 0.500 0.500 0.500
# - density (g cm⁻³) = 5.53

***

Energy ordering: two at the bottom, the next structure 124 meV per atom above.

***

## one
# Li3HAu GGA-PBE relaxed
data_Li3HAu
_cell_length_a 6.952
_cell_length_b 6.952
_cell_length_c 6.952
_cell_angle_alpha 50.20
_cell_angle_beta 50.20
_cell_angle_gamma 50.20
_symmetry_space_group_name_H-M 'P 1'
_symmetry_Int_Tables_number 1
_symmetry_space_group_name_Hall 'P 1'
loop_
_atom_site_label
_atom_site_fract_x
_atom_site_fract_y
_atom_site_fract_z
Li1 0.041 0.750 0.459
Li2 0.250 0.541 0.959
Li3 0.459 0.041 0.750
Li4 0.541 0.959 0.250
Li5 0.750 0.459 0.041
Li6 0.959 0.250 0.541
H1 0.250 0.250 0.250
H2 0.750 0.750 0.750
Au1 0.000 0.000 0.000
Au2 0.500 0.500 0.500
# - density (g cm⁻³) = 3.98

***

## two
# Li3HAu GGA-PBE relaxed
data_Li3HAu
_cell_length_a 10.197
_cell_length_b 10.197
_cell_length_c 4.513
_cell_angle_alpha 90.00
_cell_angle_beta 90.00
_cell_angle_gamma 164.40
_symmetry_space_group_name_H-M 'P 1'
_symmetry_Int_Tables_number 1
_symmetry_space_group_name_Hall 'P 1'
loop_
_atom_site_label
_atom_site_fract_x
_atom_site_fract_y
_atom_site_fract_z
Li1 0.036 0.964 0.500
Li2 0.210 0.790 0.020
Li3 0.341 0.659 0.004
Li4 0.659 0.341 0.504
Li5 0.790 0.210 0.520
Li6 0.964 0.036 0.000
H1 0.225 0.775 0.460
H2 0.775 0.225 0.960
Au1 0.414 0.586 0.500
Au2 0.586 0.414 0.000
# - density (g cm⁻³) = 5.76

***

Energy ordering: two at the bottom, the next structure 208 meV per atom above.

***

## one
# Li3HAu GGA-PBE relaxed
data_Li3HAu
_cell_length_a 7.668
_cell_length_b 7.668
_cell_length_c 4.818
_cell_angle_alpha 90.00
_cell_angle_beta 90.00
_cell_angle_gamma 131.29
_symmetry_space_group_name_H-M 'P 1'
_symmetry_Int_Tables_number 1
_symmetry_space_group_name_Hall 'P 1'
loop_
_atom_site_label
_atom_site_fract_x
_atom_site_fract_y
_atom_site_fract_z
Li1 0.000 0.000 0.000
Li2 0.000 0.000 0.500
Li3 0.044 0.403 0.250
Li4 0.403 0.044 0.750
Li5 0.597 0.956 0.250
Li6 0.956 0.597 0.750
H1 0.297 0.703 0.250
H2 0.703 0.297 0.750
Au1 0.165 0.835 0.250
Au2 0.835 0.165 0.750
# - density (g cm⁻³) = 3.41

***

## two
# Li3HAu GGA-PBE relaxed
data_Li3HAu
_cell_length_a 4.708
_cell_length_b 5.434
_cell_length_c 5.093
_cell_angle_alpha 90.00
_cell_angle_beta 92.57
_cell_angle_gamma 90.00
_symmetry_space_group_name_H-M 'P 1'
_symmetry_Int_Tables_number 1
_symmetry_space_group_name_Hall 'P 1'
loop_
_atom_site_label
_atom_site_fract_x
_atom_site_fract_y
_atom_site_fract_z
Li1 0.222 0.000 0.152
Li2 0.222 0.500 0.152
Li3 0.236 0.250 0.648
Li4 0.764 0.750 0.352
Li5 0.778 0.000 0.848
Li6 0.778 0.500 0.848
H1 0.038 0.250 0.953
H2 0.962 0.750 0.047
Au1 0.309 0.750 0.634
Au2 0.691 0.250 0.366
# - density (g cm⁻³) = 5.58

***

Energy ordering: two at the bottom, the next structure 253 meV per atom above.

***

## one
# Li3HAu GGA-PBE relaxed
data_Li3HAu
_cell_length_a 5.727
_cell_length_b 5.727
_cell_length_c 5.204
_cell_angle_alpha 90.00
_cell_angle_beta 90.00
_cell_angle_gamma 124.27
_symmetry_space_group_name_H-M 'P 1'
_symmetry_Int_Tables_number 1
_symmetry_space_group_name_Hall 'P 1'
loop_
_atom_site_label
_atom_site_fract_x
_atom_site_fract_y
_atom_site_fract_z
Li1 0.000 0.000 0.000
Li2 0.000 0.000 0.500
Li3 0.067 0.454 0.750
Li4 0.454 0.067 0.250
Li5 0.546 0.933 0.750
Li6 0.933 0.546 0.250
H1 0.101 0.899 0.250
H2 0.899 0.101 0.750
Au1 0.426 0.574 0.250
Au2 0.574 0.426 0.750
# - density (g cm⁻³) = 5.15

***

## two
# Li3HAu GGA-PBE relaxed
data_Li3HAu
_cell_length_a 9.780
_cell_length_b 9.780
_cell_length_c 9.780
_cell_angle_alpha 152.26
_cell_angle_beta 152.26
_cell_angle_gamma 39.63
_symmetry_space_group_name_H-M 'P 1'
_symmetry_Int_Tables_number 1
_symmetry_space_group_name_Hall 'P 1'
loop_
_atom_site_label
_atom_site_fract_x
_atom_site_fract_y
_atom_site_fract_z
Li1 0.188 0.188 0.000
Li2 0.378 0.138 0.761
Li3 0.378 0.617 0.239
Li4 0.383 0.622 0.761
Li5 0.812 0.812 0.000
Li6 0.862 0.622 0.239
H1 0.647 0.147 0.500
H2 0.853 0.353 0.500
Au1 0.250 0.750 0.500
Au2 0.500 0.500 0.000
# - density (g cm⁻³) = 3.59

***

Energy ordering: one at the bottom, the next structure 418 meV per atom above.

***

## one
# Li3HAu GGA-PBE relaxed
data_Li3HAu
_cell_length_a 2.873
_cell_length_b 6.878
_cell_length_c 6.907
_cell_angle_alpha 90.00
_cell_angle_beta 90.00
_cell_angle_gamma 90.00
_symmetry_space_group_name_H-M 'P 1'
_symmetry_Int_Tables_number 1
_symmetry_space_group_name_Hall 'P 1'
loop_
_atom_site_label
_atom_site_fract_x
_atom_site_fract_y
_atom_site_fract_z
Li1 0.000 0.000 0.000
Li2 0.000 0.500 0.500
Li3 0.500 0.203 0.705
Li4 0.500 0.297 0.205
Li5 0.500 0.703 0.205
Li6 0.500 0.797 0.705
H1 0.500 0.000 0.861
H2 0.500 0.500 0.361
Au1 0.000 0.000 0.392
Au2 0.000 0.500 0.892
# - density (g cm⁻³) = 5.32

***

## two
# Li3HAu GGA-PBE relaxed
data_Li3HAu
_cell_length_a 3.859
_cell_length_b 4.147
_cell_length_c 8.000
_cell_angle_alpha 90.00
_cell_angle_beta 90.05
_cell_angle_gamma 90.00
_symmetry_space_group_name_H-M 'P 1'
_symmetry_Int_Tables_number 1
_symmetry_space_group_name_Hall 'P 1'
loop_
_atom_site_label
_atom_site_fract_x
_atom_site_fract_y
_atom_site_fract_z
Li1 0.001 0.250 0.126
Li2 0.001 0.750 0.373
Li3 0.499 0.750 0.652
Li4 0.501 0.250 0.348
Li5 0.999 0.250 0.627
Li6 0.999 0.750 0.874
H1 0.002 0.250 0.386
H2 0.998 0.750 0.614
Au1 0.499 0.750 0.126
Au2 0.501 0.250 0.874
# - density (g cm⁻³) = 5.68

***

Energy ordering: two at the bottom, the next structure 60 meV per atom above.

***

## one
# Li3HAu GGA-PBE relaxed
data_Li3HAu
_cell_length_a 5.568
_cell_length_b 4.162
_cell_length_c 6.074
_cell_angle_alpha 90.00
_cell_angle_beta 114.31
_cell_angle_gamma 90.00
_symmetry_space_group_name_H-M 'P 1'
_symmetry_Int_Tables_number 1
_symmetry_space_group_name_Hall 'P 1'
loop_
_atom_site_label
_atom_site_fract_x
_atom_site_fract_y
_atom_site_fract_z
Li1 0.069 0.250 0.369
Li2 0.206 0.750 0.106
Li3 0.430 0.750 0.647
Li4 0.570 0.250 0.353
Li5 0.794 0.250 0.894
Li6 0.931 0.750 0.631
H1 0.435 0.250 0.610
H2 0.565 0.750 0.390
Au1 0.269 0.250 0.852
Au2 0.731 0.750 0.148
# - density (g cm⁻³) = 5.66

***

## two
# Li3HAu GGA-PBE relaxed
data_Li3HAu
_cell_length_a 6.298
_cell_length_b 6.298
_cell_length_c 6.298
_cell_angle_alpha 130.03
_cell_angle_beta 130.03
_cell_angle_gamma 73.36
_symmetry_space_group_name_H-M 'P 1'
_symmetry_Int_Tables_number 1
_symmetry_space_group_name_Hall 'P 1'
loop_
_atom_site_label
_atom_site_fract_x
_atom_site_fract_y
_atom_site_fract_z
Li1 0.132 0.132 0.000
Li2 0.355 0.609 0.746
Li3 0.391 0.137 0.746
Li4 0.391 0.645 0.254
Li5 0.863 0.609 0.254
Li6 0.868 0.868 0.000
H1 0.250 0.750 0.500
H2 0.500 0.500 0.000
Au1 0.614 0.114 0.500
Au2 0.886 0.386 0.500
# - density (g cm⁻³) = 5.08

***

Energy ordering: one at the bottom, the next structure 103 meV per atom above.